Record 1
{"formula": "PmSm3Dy6Sc2", "functional": "PBE", "state": "relaxed", "spacegroup": "C2/m, No. 12", "e_form_ev_per_atom": 0.04, "dft_energy_ev_per_atom": -4.895, "m_tot_mub_per_atom": 0.000, "crystal_system": "monoclinic", "cell": [[6.110, 0.000, 0.009], [-3.053, 5.293, 0.009], [-1.033, -1.788, 11.503]], "species": ["Pm", "Sm", "Sm", "Sm", "Dy", "Dy", "Dy", "Dy", "Dy", "Dy", "Sc", "Sc"], "frac_coords": [[0.000, 0.000, 0.000], [0.167, 0.833, 0.500], [0.833, 0.167, 0.500], [0.500, 0.500, 0.500], [0.918, 0.582, 0.756], [0.745, 0.745, 0.244], [0.082, 0.418, 0.244], [0.582, 0.918, 0.756], [0.255, 0.255, 0.756], [0.418, 0.082, 0.244], [0.333, 0.667, 0.000], [0.667, 0.333, 0.000]]}

---

Record 2
{"formula": "Pm3SmDySc", "functional": "PBE", "state": "relaxed", "spacegroup": "P2_1/m, No. 11", "e_form_ev_per_atom": 0.04, "dft_energy_ev_per_atom": -4.943, "m_tot_mub_per_atom": 0.000, "crystal_system": "monoclinic", "cell": [[5.067, 0.000, 0.000], [0.000, 7.859, -1.137], [0.000, -3.294, 10.146]], "species": ["Pm", "Pm", "Pm", "Pm", "Pm", "Pm", "Sm", "Sm", "Dy", "Dy", "Sc", "Sc"], "frac_coords": [[0.750, 0.875, 0.045], [0.250, 0.125, 0.955], [0.250, 0.635, 0.459], [0.750, 0.365, 0.541], [0.750, 0.382, 0.210], [0.250, 0.618, 0.790], [0.250, 0.121, 0.297], [0.750, 0.879, 0.703], [0.250, 0.629, 0.128], [0.750, 0.371, 0.872], [0.250, 0.120, 0.621], [0.750, 0.880, 0.379]]}

---

> What is the formula in the first record?

PmSm3Dy6Sc2

---

> Number 1 is which compound?

PmSm3Dy6Sc2